[1]
The following is a PBE-GGA calculation of crystalline Ho4Si2Ge at its relaxed geometry, from Alexandria.

For the energy relative to the elements, uncorrected, the calculation gives -0.53 eV/atom. The volume comes out at 26.69 Å³ per atom. Its density of states at the Fermi level is 5.26 states/eV/f.u.

The structure belongs to space group C2/m (No. 12); the cell edges are 13.8859, 4.3016 and 7.2077 Å and the angles 90.00°, 119.80° and 90.00°. Symmetry generates all atoms from Ho at (0.1214, 0.0000, 0.3080), Ho at (0.1350, 0.5000, 0.7864), Si at (0.2378, 0.5000, 0.2389) and Ge at (0.0000, 0.5000, 0.0000).

***

[2]
The following is a PBE-GGA calculation of crystalline Tb5YHo2 at its relaxed geometry, from Alexandria.

For the formation energy, the calculation gives 15.3 meV/atom. The volume comes out at 31.73 Å³ per atom. Its density of states at the Fermi level is 9.60 states/eV/f.u.

The structure belongs to space group Pbam (No. 55); the cell edges are 7.1112, 14.2231 and 5.0189 Å and the angles 90.00°, 90.00° and 90.00°. Symmetry generates all atoms from Tb at (0.0000, 0.0000, 0.0000), Tb at (0.9999, 0.2496, 0.0000), Tb at (0.2494, 0.1252, 0.5000), Y at (0.0000, 0.5000, 0.0000) and Ho at (0.2503, 0.3748, 0.5000).

***

[3]
The following is a PBE-GGA calculation of crystalline Zr3Bi7 at its relaxed geometry, from Alexandria.

For the formation energy, the calculation gives -54.1 meV/atom. The volume comes out at 29.55 Å³ per atom. Its density of states at the Fermi level is 8.14 states/eV/f.u.

The structure belongs to space group Im-3m (No. 229); the cell edges are 10.5734, 10.5734 and 10.5734 Å and the angles 90.00°, 90.00° and 90.00°. Symmetry generates all atoms from Zr at (0.0000, 0.0000, 0.3520), Bi at (0.0000, 0.2500, 0.5000) and Bi at (0.1620, 0.1620, 0.1620).

***

[4]
The following is a PBE-GGA calculation of crystalline Tb6Pr3Tm at its relaxed geometry, from Alexandria.

For the formation energy, the calculation gives 147.0 meV/atom. The volume comes out at 33.45 Å³ per atom. Its density of states at the Fermi level is 13.27 states/eV/f.u.

The structure belongs to space group Cmc2_1 (No. 36); the cell edges are 10.9838, 19.0237 and 6.4031 Å and the angles 90.00°, 90.00° and 90.00°. Symmetry generates all atoms from Tb at (0.0000, 0.0382, 0.0000), Tb at (0.0000, 0.2722, 0.7773), Tb at (0.1687, 0.4546, 0.6812), Tb at (0.2381, 0.2901, 0.4983), Pr at (0.0000, 0.3873, 0.2017), Pr at (0.1750, 0.1139, 0.5939) and Tm at (0.0000, 0.1941, 0.2547).

***

[5]
The following is a PBE-GGA calculation of crystalline KTl2AsO4 at its relaxed geometry, from Alexandria.

For the energy relative to the elements, uncorrected, the calculation gives -1.04 eV/atom. The volume comes out at 27.78 Å³ per atom. Its density of states at the Fermi level is 0.00 states/eV/f.u.

The structure belongs to space group Fddd (No. 70, origin choice 2); the cell edges are 6.6421, 11.5837 and 23.1073 Å and the angles 90.00°, 90.00° and 90.00°. Symmetry generates all atoms from K at (0.1250, 0.1250, 0.1250), Tl at (0.1250, 0.1250, 0.3369), As at (0.1250, 0.1250, 0.6250) and O at (0.0335, 0.2813, 0.8374).